## GdSiPd (PBE-GGA)

Data for an optimized crystal structure of GdSiPd.

a = 10.4161 Å, b = 4.2808 Å, c = 7.0828 Å
α = 90.00°, β = 132.38°, γ = 90.00°
With the nearest neighbours (Å) after each atom.
Positions (direct):
Gd (0.0515, 0.0000, 0.3124)  6 Si 3.04-3.34, 6 Pd 3.05-3.22
Gd (0.4485, 0.5000, 0.6876)  6 Si 3.04-3.34, 6 Pd 3.05-3.22
Gd (0.5515, 0.5000, 0.3124)  6 Si 3.04-3.34, 6 Pd 3.05-3.22
Gd (0.9485, 0.0000, 0.6876)  6 Si 3.04-3.34, 6 Pd 3.05-3.22
Si (0.1512, 0.5000, 0.0991)  1 Si 2.44, 3 Pd 2.49-2.70
Si (0.3488, 0.0000, 0.9009)  1 Si 2.44, 3 Pd 2.49-2.70
Si (0.6512, 0.0000, 0.0991)  1 Si 2.44, 3 Pd 2.49-2.70
Si (0.8488, 0.5000, 0.9009)  1 Si 2.44, 3 Pd 2.49-2.70
Pd (0.1833, 0.5000, 0.7513)  3 Si 2.49-2.70
Pd (0.3167, 0.0000, 0.2487)  3 Si 2.49-2.70
Pd (0.6833, 0.0000, 0.7513)  3 Si 2.49-2.70
Pd (0.8167, 0.5000, 0.2487)  3 Si 2.49-2.70

E: -109.6 eV/cell
SG: C2/m (12)
Formation energy without anion corrections: -901 meV/atom
Density: 8.31 g cm⁻³
Total magnetic moment: 7.14 μB per formula unit
N(E_F): 8.0 states/eV/cell